AcNpMn2O6 | PBE+U | relaxed

```
data_AcNpMn2O6
_space_group_name_H-M_alt 'P 1 21/c 1'
_space_group_IT_number 14
_space_group_name_Hall '-P 2ybc'
_cell_length_a 5.679
_cell_length_b 5.949
_cell_length_c 10.315
_cell_angle_alpha 90.00
_cell_angle_beta 123.37
_cell_angle_gamma 90.00
loop_
_atom_site_label
_atom_site_fract_x
_atom_site_fract_y
_atom_site_fract_z
Ac1 0.000 0.000 0.000
Np1 0.500 0.000 0.500
Mn1 0.214 0.000 0.714
O1 0.158 0.234 0.332
O2 0.176 0.649 0.001
O3 0.491 0.236 0.666
```

Mass density (Mg/m³): 7.65
Volume (Å³ per atom): 14.550
Energy (eV/atom): -8.613